# 1
Entry from Alexandria via LeMat-Bulk: a relaxed LiTiRh2 crystal (PBE).

abc: 5.424 5.424 5.424
angles: 105.43 105.43 117.89
Fractional positions:
Li: 0.000 0.000 0.000
Li: 0.750 0.250 0.500
Ti: 0.250 0.750 0.500
Ti: 0.500 0.500 0.000
Rh: 0.133 0.625 0.008
Rh: 0.375 0.383 0.508
Rh: 0.617 0.125 0.992
Rh: 0.875 0.867 0.492

Results
Polymorph energy (0 for the lowest one) in eV/f.u.: 1.765
DFT formation energy in meV per atom: -205
Space-group type: I-42d



# 2
Entry from Alexandria via LeMat-Bulk: a relaxed Li2TiRh2 crystal (PBE).

abc: 8.855 8.855 2.988
angles: 90.00 90.00 160.35
Fractional positions:
Li: 0.180 0.820 0.000
Li: 0.820 0.180 0.000
Ti: 0.000 0.000 0.000
Rh: 0.413 0.587 0.500
Rh: 0.587 0.413 0.500

Results
Polymorph energy (0 for the lowest one) in eV/f.u.: 0.000
DFT formation energy in meV per atom: -457
Space-group type: Cmmm



# 3
Entry from Alexandria via LeMat-Bulk: a relaxed Li2TiRh2 crystal (PBE).

abc: 6.700 6.700 3.068
angles: 90.00 90.00 90.00
Fractional positions:
Li: 0.138 0.362 0.000
Li: 0.362 0.862 0.000
Li: 0.638 0.138 0.000
Li: 0.862 0.638 0.000
Ti: 0.000 0.000 0.500
Ti: 0.500 0.500 0.500
Rh: 0.160 0.660 0.500
Rh: 0.340 0.160 0.500
Rh: 0.660 0.840 0.500
Rh: 0.840 0.340 0.500

Results
Polymorph energy (0 for the lowest one) in eV/f.u.: 1.355
DFT formation energy in meV per atom: -186
Space-group type: P4/mbm



# 4
Entry from Alexandria via LeMat-Bulk: a relaxed LiTiRh3 crystal (PBE).

abc: 4.110 4.110 4.110
angles: 90.00 90.00 90.00
Fractional positions:
Li: 0.000 0.000 0.000
Ti: 0.500 0.500 0.500
Rh: 0.000 0.000 0.500
Rh: 0.000 0.500 0.000
Rh: 0.500 0.000 0.000

Results
Polymorph energy (0 for the lowest one) in eV/f.u.: 1.182
DFT formation energy in meV per atom: 129
Space-group type: Pm-3m



# 5
Entry from Alexandria via LeMat-Bulk: a relaxed LiTiRh2 crystal (PBE).

abc: 4.200 4.200 3.091
angles: 90.00 90.00 90.00
Fractional positions:
Li: 0.000 0.000 0.000
Ti: 0.500 0.500 0.000
Rh: 0.000 0.500 0.500
Rh: 0.500 0.000 0.500

Results
Polymorph energy (0 for the lowest one) in eV/f.u.: 0.194
DFT formation energy in meV per atom: -598
Space-group type: P4/mmm



# 6
Entry from Alexandria via LeMat-Bulk: a relaxed LiTi5Rh6 crystal (PBE).

abc: 7.560 7.560 4.372
angles: 106.75 106.75 120.50
Fractional positions:
Li: 0.000 0.000 0.000
Ti: 0.163 0.837 0.500
Ti: 0.335 0.665 0.000
Ti: 0.500 0.500 0.500
Ti: 0.665 0.335 0.000
Ti: 0.837 0.163 0.500
Rh: 0.083 0.420 0.252
Rh: 0.251 0.251 0.751
Rh: 0.420 0.083 0.252
Rh: 0.580 0.917 0.748
Rh: 0.749 0.749 0.249
Rh: 0.917 0.580 0.748

Results
DFT formation energy in meV per atom: -735
Space-group type: C2/m



# 7
Entry from Alexandria via LeMat-Bulk: a relaxed LiTiRh crystal (PBE).

abc: 13.923 2.765 2.765
angles: 60.00 90.00 90.00
Fractional positions:
Li: 0.151 0.000 0.000
Li: 0.849 0.000 0.000
Ti: 0.342 0.664 0.664
Ti: 0.658 0.664 0.664
Rh: 0.000 0.668 0.668
Rh: 0.500 0.997 0.997

Results
Polymorph energy (0 for the lowest one) in eV/f.u.: 0.783
DFT formation energy in meV per atom: -87
Space-group type: Amm2



# 8
Entry from Alexandria via LeMat-Bulk: a relaxed Li4Tl3Rh crystal (PBE).

abc: 11.710 11.710 3.246
angles: 97.61 97.61 21.59
Fractional positions:
Li: 0.091 0.091 0.087
Li: 0.216 0.216 0.215
Li: 0.784 0.784 0.785
Li: 0.909 0.909 0.913
Tl: 0.347 0.347 0.349
Tl: 0.500 0.500 0.000
Tl: 0.653 0.653 0.651
Rh: 0.000 0.000 0.500

Results
DFT formation energy in meV per atom: -133
Space-group type: C2/m



# 9
Entry from Alexandria via LeMat-Bulk: a relaxed LiTlRh crystal (PBE).

abc: 4.949 4.949 4.949
angles: 142.93 135.94 58.91
Fractional positions:
Li: 0.000 0.000 0.000
Tl: 0.320 0.320 0.000
Rh: 0.649 0.649 0.000

Results
Polymorph energy (0 for the lowest one) in eV/f.u.: 0.105
DFT formation energy in meV per atom: -114
Space-group type: Imm2



# 10
Entry from Alexandria via LeMat-Bulk: a relaxed LiTl2Rh crystal (PBE).

abc: 3.374 3.374 6.999
angles: 90.00 90.00 90.00
Fractional positions:
Li: 0.000 0.000 0.000
Tl: 0.000 0.000 0.400
Tl: 0.500 0.500 0.760
Rh: 0.500 0.500 0.172

Results
Polymorph energy (0 for the lowest one) in eV/f.u.: 0.364
DFT formation energy in meV per atom: -28
Space-group type: P4mm



# 11
Entry from Alexandria via LeMat-Bulk: a relaxed LiTlRh crystal (PBE).

abc: 4.427 4.427 4.427
angles: 60.00 60.00 60.00
Fractional positions:
Li: 0.000 0.000 0.000
Tl: 0.500 0.500 0.500
Rh: 0.250 0.250 0.250

Results
Polymorph energy (0 for the lowest one) in eV/f.u.: 0.551
DFT formation energy in meV per atom: 35
Space-group type: F-43m



# 12
Entry from Alexandria via LeMat-Bulk: a relaxed LiTlRh4 crystal (PBE).

abc: 5.200 5.200 5.200
angles: 60.00 60.00 60.00
Fractional positions:
Li: 0.000 0.000 0.000
Tl: 0.250 0.250 0.250
Rh: 0.125 0.625 0.625
Rh: 0.625 0.125 0.625
Rh: 0.625 0.625 0.125
Rh: 0.625 0.625 0.625

Results
DFT formation energy in meV per atom: 114
Space-group type: F-43m



Copy entry 8 word for word.
Entry from Alexandria via LeMat-Bulk: a relaxed Li4Tl3Rh crystal (PBE).

abc: 11.710 11.710 3.246
angles: 97.61 97.61 21.59
Fractional positions:
Li: 0.091 0.091 0.087
Li: 0.216 0.216 0.215
Li: 0.784 0.784 0.785
Li: 0.909 0.909 0.913
Tl: 0.347 0.347 0.349
Tl: 0.500 0.500 0.000
Tl: 0.653 0.653 0.651
Rh: 0.000 0.000 0.500

Results
DFT formation energy in meV per atom: -133
Space-group type: C2/m



> Which formula does entry 3 have?

Li2TiRh2



> Look up the DFT formation energy of the eleventh one.

35 meV per atom